# Ce2PmThSe4

Ce2PmThSe4 after structural relaxation (PBE, the Alexandria database).

Unit cell a=4.196 b=7.271 c=7.274 alpha=70.56 beta=90.00 gamma=90.00
Last column: magnetic moment on the atom in μB.
Fractional coordinates of all 8 atoms:
Se1 0.500 0.250 0.749  -0.01
Se2 0.500 0.750 0.251  -0.01
Se3 0.000 0.249 0.252  -0.01
Se4 0.000 0.751 0.748  -0.01
Th1 0.500 0.500 0.000  0.00
Ce1 0.000 0.000 0.000  0.77
Ce2 0.500 0.000 0.500  0.69
Pm1 0.000 0.500 0.500  -0.01

Properties
raw formation energy: -1.76 eV per atom
E: -52.0 eV for the cell shown
D(E_F): 1.672 states/eV/atom

# Ti3PRu

Ti3PRu after structural relaxation (PBE, the Alexandria database).

Unit cell a=4.641 b=4.641 c=4.641 alpha=90.00 beta=90.00 gamma=90.00
Fractional coordinates of all 5 atoms:
P1 0.500 0.500 0.500
Ti1 0.000 0.500 0.000
Ti2 0.500 0.000 0.000
Ti3 0.000 0.000 0.500
Ru1 0.000 0.000 0.000

Properties
E: -36.3 eV for the cell shown
relative energy among the computed polymorphs: 396.0 meV per atom
D(E_F): 1.036 states/eV/atom
energy of formation: 0.411 eV/atom

# CsKZn2Ag

CsKZn2Ag after structural relaxation (PBE, the Alexandria database).

Unit cell a=5.329 b=5.329 c=6.137 alpha=90.00 beta=90.00 gamma=90.00
Fractional coordinates of all 5 atoms:
Zn1 0.000 0.500 0.000
Zn2 0.500 0.000 0.000
Cs1 0.500 0.500 0.500
Ag1 0.000 0.000 0.000
K1 0.000 0.000 0.500

Properties
E: -6.5 eV for the cell shown
D(E_F): 0.538 states/eV/atom
energy of formation: 0.174 eV/atom

# NaNbRhSe3

NaNbRhSe3 after structural relaxation (PBE, the Alexandria database).

Unit cell a=3.621 b=7.690 c=9.826 alpha=108.97 beta=90.00 gamma=90.00
Fractional coordinates of all 12 atoms:
Se1 0.250 0.737 0.442
Se2 0.750 0.928 0.129
Se3 0.250 0.072 0.871
Se4 0.750 0.263 0.558
Se5 0.250 0.567 0.875
Se6 0.750 0.433 0.125
Rh1 0.250 0.082 0.622
Rh2 0.750 0.918 0.378
Nb1 0.250 0.708 0.171
Nb2 0.750 0.292 0.829
Na1 0.250 0.258 0.290
Na2 0.750 0.742 0.710

Properties
raw formation energy: -0.77 eV per atom
E: -67.6 eV for the cell shown
D(E_F): 0.628 states/eV/atom

# PmNd4Ho6

PmNd4Ho6 after structural relaxation (PBE, the Alexandria database).

Unit cell a=7.769 b=7.769 c=8.514 alpha=117.15 beta=117.15 gamma=90.00
Fractional coordinates of all 11 atoms:
Nd1 0.250 0.250 0.151
Nd2 0.901 0.901 0.151
Nd3 0.099 0.750 0.849
Nd4 0.750 0.099 0.849
Ho1 0.934 0.435 0.369
Ho2 0.500 0.000 0.000
Ho3 0.000 0.500 0.000
Ho4 0.565 0.565 0.631
Ho5 0.066 0.066 0.631
Ho6 0.435 0.934 0.369
Pm1 0.500 0.500 0.000

Properties
E: -46.3 eV for the cell shown
relative energy among the computed polymorphs: 145.1 meV per atom
D(E_F): 1.408 states/eV/atom
energy of formation: 0.450 eV/atom

# TbPuTlIr

TbPuTlIr after structural relaxation (PBE, the Alexandria database).

Unit cell a=5.118 b=5.118 c=5.118 alpha=60.00 beta=60.00 gamma=60.00
Last column: magnetic moment on the atom in μB.
Fractional coordinates of all 4 atoms:
Pu1 0.250 0.250 0.250  5.27
Ir1 0.000 0.000 0.000  -0.20
Tl1 0.500 0.500 0.500  0.01
Tb1 0.750 0.750 0.750  0.10

Properties
E: -31.2 eV for the cell shown
D(E_F): 2.048 states/eV/atom
energy of formation: -0.243 eV/atom

# Ca6TlIr2

Ca6TlIr2 after structural relaxation (PBE, the Alexandria database).

Unit cell a=8.756 b=8.756 c=8.756 alpha=101.73 beta=114.46 gamma=112.50
Fractional coordinates of all 18 atoms:
Ca1 0.104 0.289 0.815
Ca2 0.209 0.761 0.970
Ca3 0.688 0.361 0.673
Ca4 0.474 0.289 0.185
Ca5 0.791 0.239 0.030
Ca6 0.209 0.239 0.448
Ca7 0.312 0.985 0.673
Ca8 0.526 0.711 0.815
Ca9 0.688 0.015 0.327
Ca10 0.312 0.639 0.327
Ca11 0.896 0.711 0.185
Ca12 0.791 0.761 0.552
Ir1 0.500 0.620 0.120
Ir2 0.500 0.380 0.880
Ir3 0.358 0.000 0.358
Ir4 0.642 0.000 0.642
Tl1 0.000 0.000 0.000
Tl2 0.000 0.500 0.500

Properties
E: -70.1 eV for the cell shown
D(E_F): 0.853 states/eV/atom
energy of formation: -0.330 eV/atom

# CoTc2SnPb

CoTc2SnPb after structural relaxation (PBE, the Alexandria database).

Unit cell a=4.608 b=4.778 c=4.608 alpha=90.00 beta=90.00 gamma=90.00
Last column: magnetic moment on the atom in μB.
Fractional coordinates of all 5 atoms:
Co1 0.000 0.000 0.000  0.35
Pb1 0.000 0.500 0.000  0.00
Sn1 0.500 0.500 0.500  -0.04
Tc1 0.000 0.000 0.500  1.07
Tc2 0.500 0.000 0.000  0.98

Properties
E: -30.0 eV for the cell shown
D(E_F): 1.394 states/eV/atom
energy of formation: 1.117 eV/atom

# LiTa3Ga

LiTa3Ga after structural relaxation (PBE, the Alexandria database).

Unit cell a=4.395 b=4.395 c=4.395 alpha=90.00 beta=90.00 gamma=90.00
Fractional coordinates of all 5 atoms:
Ta1 0.000 0.000 0.500
Ta2 0.000 0.500 0.000
Ta3 0.500 0.000 0.000
Li1 0.000 0.000 0.000
Ga1 0.500 0.500 0.500

Properties
E: -35.7 eV for the cell shown
relative energy among the computed polymorphs: 0.0 meV per atom
D(E_F): 1.190 states/eV/atom
energy of formation: 0.964 eV/atom

# BaFe2Os

BaFe2Os after structural relaxation (PBE, the Alexandria database).

Unit cell a=3.138 b=3.148 c=7.690 alpha=90.00 beta=90.00 gamma=90.00
Last column: magnetic moment on the atom in μB.
Fractional coordinates of all 4 atoms:
Ba1 0.500 0.500 0.745  -0.08
Fe1 0.000 0.000 0.094  2.75
Fe2 0.500 0.500 0.250  2.12
Os1 0.000 0.000 0.411  0.23

Properties
E: -27.3 eV for the cell shown
relative energy among the computed polymorphs: 289.3 meV per atom
D(E_F): 1.083 states/eV/atom
energy of formation: 0.688 eV/atom

# Tc2AgHg

Tc2AgHg after structural relaxation (PBE, the Alexandria database).

Unit cell a=5.047 b=2.888 c=4.737 alpha=90.57 beta=90.00 gamma=90.00
Fractional coordinates of all 4 atoms:
Hg1 0.500 0.750 0.750
Tc1 0.000 0.929 0.016
Tc2 0.000 0.571 0.484
Ag1 0.500 0.250 0.250

Properties
E: -21.3 eV for the cell shown
D(E_F): 0.840 states/eV/atom
energy of formation: 0.648 eV/atom

# HoScCuAg

HoScCuAg after structural relaxation (PBE, the Alexandria database).

Unit cell a=3.430 b=3.430 c=6.945 alpha=90.00 beta=90.00 gamma=90.00
Fractional coordinates of all 4 atoms:
Ag1 0.000 0.000 0.835
Ho1 0.500 0.500 0.121
Sc1 0.500 0.500 0.592
Cu1 0.000 0.000 0.380

Properties
E: -18.9 eV for the cell shown
relative energy among the computed polymorphs: 0.0 meV per atom
D(E_F): 0.709 states/eV/atom
energy of formation: -0.272 eV/atom

# NpHgPd14

NpHgPd14 after structural relaxation (PBE, the Alexandria database).

Unit cell a=5.764 b=5.764 c=7.818 alpha=90.00 beta=90.00 gamma=90.00
Last column: magnetic moment on the atom in μB.
Fractional coordinates of all 16 atoms:
Np1 0.375 0.375 0.500  2.87
Pd1 0.622 0.128 0.247  -0.09
Pd2 0.622 0.622 0.753  -0.09
Pd3 0.622 0.128 0.753  -0.09
Pd4 0.875 0.875 0.000  -0.10
Pd5 0.375 0.875 0.000  -0.13
Pd6 0.875 0.375 0.000  -0.13
Pd7 0.128 0.128 0.753  -0.09
Pd8 0.128 0.128 0.247  -0.09
Pd9 0.375 0.875 0.500  -0.05
Pd10 0.375 0.375 0.000  -0.03
Pd11 0.875 0.375 0.500  -0.05
Pd12 0.128 0.622 0.753  -0.09
Pd13 0.128 0.622 0.247  -0.09
Pd14 0.622 0.622 0.247  -0.09
Hg1 0.875 0.875 0.500  0.00

Properties
E: -88.5 eV for the cell shown
D(E_F): 1.925 states/eV/atom
energy of formation: -0.160 eV/atom

# AlIn3P

AlIn3P after structural relaxation (PBE, the Alexandria database).

Unit cell a=5.233 b=5.233 c=5.233 alpha=90.00 beta=90.00 gamma=90.00
Fractional coordinates of all 5 atoms:
P1 0.500 0.500 0.500
In1 0.000 0.500 0.000
In2 0.500 0.000 0.000
In3 0.000 0.000 0.500
Al1 0.000 0.000 0.000

Properties
E: -14.3 eV for the cell shown
relative energy among the computed polymorphs: 134.0 meV per atom
D(E_F): 0.801 states/eV/atom
energy of formation: 0.616 eV/atom

# ScMnTlAg

ScMnTlAg after structural relaxation (PBE, the Alexandria database).

Unit cell a=4.818 b=4.818 c=4.818 alpha=60.00 beta=60.00 gamma=60.00
Last column: magnetic moment on the atom in μB.
Fractional coordinates of all 4 atoms:
Tl1 0.750 0.750 0.750  -0.05
Sc1 0.500 0.500 0.500  -0.01
Mn1 0.000 0.000 0.000  3.88
Ag1 0.250 0.250 0.250  0.01

Properties
E: -20.6 eV for the cell shown
D(E_F): 0.555 states/eV/atom
energy of formation: 0.019 eV/atom

# CaTmHgAu

CaTmHgAu after structural relaxation (PBE, the Alexandria database).

Unit cell a=5.150 b=5.150 c=5.150 alpha=60.00 beta=60.00 gamma=60.00
Fractional coordinates of all 4 atoms:
Tm1 0.750 0.750 0.750
Hg1 0.500 0.500 0.500
Au1 0.000 0.000 0.000
Ca1 0.250 0.250 0.250

Properties
E: -12.6 eV for the cell shown
relative energy among the computed polymorphs: 32.8 meV per atom
D(E_F): 0.521 states/eV/atom
energy of formation: -0.647 eV/atom

# ZrTl2Cu

ZrTl2Cu after structural relaxation (PBE, the Alexandria database).

Unit cell a=5.421 b=5.421 c=5.421 alpha=131.92 beta=131.92 gamma=70.35
Fractional coordinates of all 4 atoms:
Tl1 0.500 0.500 0.000
Tl2 0.000 0.000 0.000
Zr1 0.750 0.250 0.500
Cu1 0.250 0.750 0.500

Properties
E: -16.2 eV for the cell shown
relative energy among the computed polymorphs: 209.0 meV per atom
D(E_F): 1.099 states/eV/atom
energy of formation: 0.286 eV/atom

# Nd2Ni4Ge3Pd

Nd2Ni4Ge3Pd after structural relaxation (PBE, the Alexandria database).

Unit cell a=4.103 b=4.103 c=10.099 alpha=90.00 beta=90.00 gamma=90.00
Fractional coordinates of all 10 atoms:
Ge1 0.000 0.000 0.500
Ge2 0.500 0.000 0.878
Ge3 0.000 0.500 0.122
Nd1 0.500 0.000 0.251
Nd2 0.000 0.500 0.749
Ni1 0.500 0.500 0.000
Ni2 0.500 0.000 0.643
Ni3 0.000 0.000 0.000
Ni4 0.000 0.500 0.357
Pd1 0.500 0.500 0.500

Properties
E: -57.9 eV for the cell shown
D(E_F): 0.688 states/eV/atom
energy of formation: -0.623 eV/atom

# Nb2PdPt5Rh

Nb2PdPt5Rh after structural relaxation (PBE, the Alexandria database).

Unit cell a=7.639 b=7.639 c=7.661 alpha=119.91 beta=119.91 gamma=90.00
Fractional coordinates of all 18 atoms:
Pt1 0.666 0.166 0.735
Pt2 0.000 0.000 0.000
Pt3 0.834 0.931 0.265
Pt4 0.931 0.431 0.265
Pt5 0.166 0.069 0.735
Pt6 0.569 0.666 0.735
Pt7 0.431 0.334 0.265
Pt8 0.500 0.500 0.000
Pt9 0.069 0.569 0.735
Pt10 0.334 0.834 0.265
Nb1 0.114 0.386 0.000
Nb2 0.886 0.614 0.000
Nb3 0.614 0.114 0.000
Nb4 0.386 0.886 0.000
Pd1 0.250 0.250 0.500
Pd2 0.750 0.750 0.500
Rh1 0.250 0.750 0.500
Rh2 0.750 0.250 0.500

Properties
E: -123.2 eV for the cell shown
D(E_F): 1.117 states/eV/atom
energy of formation: 0.144 eV/atom

# CsCu2Rh

CsCu2Rh after structural relaxation (PBE, the Alexandria database).

Unit cell a=5.342 b=5.342 c=8.873 alpha=72.48 beta=72.48 gamma=90.00
Last column: magnetic moment on the atom in μB.
Fractional coordinates of all 8 atoms:
Cs1 0.750 0.250 0.500  0.00
Cs2 0.000 0.000 0.000  0.00
Rh1 0.250 0.750 0.500  0.08
Rh2 0.500 0.500 0.000  0.08
Cu1 0.375 0.625 0.250  0.02
Cu2 0.375 0.625 0.750  0.02
Cu3 0.375 0.125 0.250  0.02
Cu4 0.875 0.625 0.750  0.02

Properties
E: -27.8 eV for the cell shown
relative energy among the computed polymorphs: 0.0 meV per atom
D(E_F): 1.280 states/eV/atom
energy of formation: 0.628 eV/atom

# BaCeThN3

BaCeThN3 after structural relaxation (PBE, the Alexandria database).

Unit cell a=3.670 b=7.486 c=10.029 alpha=89.64 beta=90.00 gamma=90.00
Last column: magnetic moment on the atom in μB.
Fractional coordinates of all 12 atoms:
N1 0.250 0.201 0.793  -0.01
N2 0.750 0.799 0.207  -0.01
N3 0.750 0.393 0.093  0.00
N4 0.250 0.884 0.571  -0.02
N5 0.250 0.607 0.907  0.00
N6 0.750 0.116 0.429  -0.02
Th1 0.750 0.391 0.866  0.02
Th2 0.250 0.609 0.134  0.02
Ce1 0.250 0.185 0.559  0.46
Ce2 0.750 0.815 0.441  0.46
Ba1 0.750 0.877 0.802  0.01
Ba2 0.250 0.123 0.198  0.01

Properties
raw formation energy: -1.13 eV per atom
E: -94.0 eV for the cell shown
D(E_F): 0.650 states/eV/atom

# PaGaRu

PaGaRu after structural relaxation (PBE, the Alexandria database).

Unit cell a=3.268 b=4.487 c=4.487 alpha=120.00 beta=90.00 gamma=90.00
Fractional coordinates of all 3 atoms:
Ru1 0.167 0.000 0.000
Ga1 0.167 0.667 0.333
Pa1 0.667 0.333 0.667

Properties
E: -23.1 eV for the cell shown
D(E_F): 1.017 states/eV/atom
energy of formation: -0.446 eV/atom

# LiCoCu2H6

LiCoCu2H6 after structural relaxation (PBE, the Alexandria database).

Unit cell a=4.452 b=4.495 c=4.921 alpha=90.63 beta=118.10 gamma=119.58
Fractional coordinates of all 10 atoms:
H1 0.708 0.588 0.680
H2 0.573 0.981 0.678
H3 0.106 0.334 0.157
H4 0.101 0.110 0.677
H5 0.810 0.765 0.138
H6 0.419 0.076 0.158
Co1 0.957 0.975 0.914
Cu1 0.527 0.768 0.293
Cu2 0.655 0.330 0.957
Li1 0.111 0.550 0.650

Properties
E: -37.9 eV for the cell shown
D(E_F): 0.030 states/eV/atom

# KCo2Ni

KCo2Ni after structural relaxation (PBE, the Alexandria database).

Unit cell a=5.130 b=5.356 c=2.559 alpha=81.14 beta=79.78 gamma=115.88
Last column: magnetic moment on the atom in μB.
Fractional coordinates of all 4 atoms:
K1 0.000 0.500 0.500  -0.05
Co1 0.500 0.000 0.500  1.79
Co2 0.000 0.000 0.000  1.79
Ni1 0.500 0.500 0.000  0.56

Properties
E: -16.8 eV for the cell shown
relative energy among the computed polymorphs: 479.6 meV per atom
D(E_F): 1.584 states/eV/atom
energy of formation: 1.082 eV/atom

# Ta2OsSe

Ta2OsSe after structural relaxation (PBE, the Alexandria database).

Unit cell a=4.952 b=4.952 c=4.777 alpha=76.67 beta=76.67 gamma=36.60
Fractional coordinates of all 4 atoms:
Se1 0.248 0.248 0.198
Ta1 0.766 0.766 0.684
Ta2 0.988 0.988 0.063
Os1 0.497 0.497 0.554

Properties
raw formation energy: -0.03 eV per atom
E: -38.5 eV for the cell shown
D(E_F): 0.738 states/eV/atom